[1]
DFT (PBE) results for a relaxed AcZnPd3Pb crystal.

ΔE_f: -0.417 eV per atom
volume: 274 Å³/cell
space-group type: Cmcm, No. 63
magnetic moment: 0.00 μB/f.u.
ρ: 9.9 g cm⁻³

Cell: 5.970 7.069 7.400 Å, 118.53 90.00 90.00°
Fractional positions:
Zn (0.750, 0.631, 0.262)
Zn (0.250, 0.369, 0.738)
Pd (0.500, 0.693, 0.000)
Pd (0.000, 0.693, 0.000)
Pd (0.750, 0.831, 0.661)
Pd (0.500, 0.307, 0.000)
Pd (0.000, 0.307, 0.000)
Pd (0.250, 0.169, 0.339)
Pb (0.750, 0.060, 0.120)
Pb (0.250, 0.940, 0.880)
Ac (0.750, 0.311, 0.622)
Ac (0.250, 0.689, 0.378)

---

[2]
DFT (PBE) results for a relaxed Ac3ZnPd9Pb2 crystal.

ΔE_f: -0.396 eV per atom
volume: 388 Å³/cell
space-group type: P-3m1, No. 164
magnetic moment: 0.00 μB/f.u.
ρ: 9.1 g cm⁻³

Cell: 6.894 6.894 9.423 Å, 90.00 90.00 120.00°
Fractional positions:
Pd (0.258, 0.129, 0.714)
Pd (0.129, 0.871, 0.286)
Pd (0.000, 0.500, 0.000)
Pd (0.871, 0.742, 0.714)
Pd (0.742, 0.871, 0.286)
Pd (0.500, 0.500, 0.000)
Pd (0.871, 0.129, 0.714)
Pd (0.129, 0.258, 0.286)
Pd (0.500, 0.000, 0.000)
Ac (0.333, 0.667, 0.731)
Ac (0.667, 0.333, 0.269)
Ac (0.000, 0.000, 0.000)
Pb (0.333, 0.667, 0.199)
Pb (0.667, 0.333, 0.801)
Zn (0.000, 0.000, 0.500)

---

[3]
DFT (PBE) results for a relaxed Ac3Zn2Pd4Pb2 crystal.

ΔE_f: -0.572 eV per atom
volume: 283 Å³/cell
space-group type: P-3m1, No. 164
magnetic moment: 0.00 μB/f.u.
ρ: 9.7 g cm⁻³

Cell: 4.651 4.651 15.131 Å, 90.00 90.00 120.00°
Fractional positions:
Pd (0.333, 0.667, 0.874)
Pd (0.333, 0.667, 0.372)
Pd (0.667, 0.333, 0.126)
Pd (0.667, 0.333, 0.628)
Ac (0.000, 0.000, 0.737)
Ac (0.000, 0.000, 0.000)
Ac (0.000, 0.000, 0.263)
Pb (0.333, 0.667, 0.565)
Pb (0.667, 0.333, 0.435)
Zn (0.333, 0.667, 0.137)
Zn (0.667, 0.333, 0.863)